Record 1
Y2TiTc GGA-PBE relaxed; SG = I-42d, No. 122; ΔE_f = 0.618 eV/atom; electronic total energy = -7.1796 eV/atom
1.0
8.011 0.000 0.000
0.000 8.011 0.000
4.006 4.006 2.972
Ti Y Tc
2 4 2
direct
0.500 0.500 0.000 Ti
0.250 0.750 0.500 Ti
0.375 0.333 0.750 Y
0.667 0.125 0.250 Y
0.875 0.917 0.750 Y
0.083 0.625 0.250 Y
0.000 0.000 0.000 Tc
0.750 0.250 0.500 Tc

***

Record 2
LiTlP2PbO GGA-PBE relaxed; SG = Cm, No. 8; energy relative to the elements, uncorrected = -0.682 eV/atom; electronic total energy = -4.6431 eV/atom
1.0
-2.690 -4.548 2.969
2.541 -0.116 2.126
-4.260 11.823 5.734
Tl P O Pb Li
2 4 2 2 2
direct
0.343 0.000 0.048 Tl
0.343 0.500 0.548 Tl
0.036 0.500 0.322 P
0.842 0.000 0.364 P
0.036 0.000 0.822 P
0.842 0.500 0.864 P
0.580 0.500 0.794 O
0.580 0.000 0.294 O
0.867 0.000 0.583 Pb
0.867 0.500 0.083 Pb
0.420 0.500 0.280 Li
0.420 0.000 0.780 Li

***

Record 3
CaTbPdAu GGA-PBE relaxed; SG = Amm2, No. 38; ΔE_f = -0.819 eV/atom; electronic total energy = -4.5943 eV/atom
1.0
-1.622 0.101 -3.515
-4.042 -0.783 1.842
0.004 5.355 2.285
Au Tb Ca Pd
1 1 1 1
direct
0.582 0.500 0.164 Au
0.864 0.500 0.728 Tb
0.142 0.000 0.283 Ca
0.413 0.000 0.825 Pd

***

Record 4
La14CeAl GGA-PBE relaxed; SG = Amm2, No. 38; ΔE_f = -0.016 eV/atom; electronic total energy = -4.9322 eV/atom
1.0
-2.498 -4.549 5.137
-3.551 -3.818 -5.112
8.292 -5.997 -1.280
La Ce Al
14 1 1
direct
0.134 0.384 0.764 La
0.387 0.131 0.000 La
0.370 0.119 0.500 La
0.134 0.384 0.236 La
0.132 0.868 0.771 La
0.616 0.866 0.764 La
0.614 0.386 0.758 La
0.373 0.627 0.500 La
0.616 0.866 0.236 La
0.132 0.868 0.229 La
0.876 0.124 0.500 La
0.869 0.613 0.000 La
0.881 0.630 0.500 La
0.614 0.386 0.242 La
0.875 0.125 0.000 Ce
0.377 0.623 0.000 Al

***

Record 5
TlTe2Au3 GGA-PBE relaxed; SG = P-1, No. 2; energy relative to the elements, uncorrected = -0.068 eV/atom; electronic total energy = -3.1478 eV/atom
1.0
-1.540 0.651 4.162
-3.246 -8.168 0.077
8.952 -0.226 0.930
Au Te Tl
6 4 2
direct
0.303 0.582 0.604 Au
0.371 0.342 0.743 Au
0.629 0.658 0.257 Au
0.073 0.441 0.146 Au
0.697 0.418 0.396 Au
0.927 0.559 0.854 Au
0.486 0.747 0.973 Te
0.514 0.253 0.027 Te
0.778 0.209 0.556 Te
0.222 0.791 0.444 Te
0.884 0.923 0.768 Tl
0.116 0.077 0.232 Tl

***

Record 6
Be2CuPb GGA-PBE relaxed; SG = Cmmm, No. 65; ΔE_f = 0.620 eV/atom; electronic total energy = -3.1941 eV/atom
1.0
3.994 -0.066 0.000
-0.585 3.951 0.000
0.000 0.000 3.757
Be Pb Cu
2 1 1
direct
0.500 0.500 0.000 Be
0.000 0.000 0.000 Be
0.000 0.500 0.500 Pb
0.500 0.000 0.500 Cu

***

Record 7
Cs2RbCdF GGA-PBE relaxed; SG = P4/mmm, No. 123; energy relative to the elements, uncorrected = -0.928 eV/atom; electronic total energy = -2.0201 eV/atom
1.0
5.833 0.000 0.000
0.000 5.833 0.000
0.000 0.000 7.954
Cs Rb Cd F
2 1 1 1
direct
0.500 0.000 0.000 Cs
0.000 0.500 0.000 Cs
0.500 0.500 0.500 Rb
0.000 0.000 0.500 Cd
0.000 0.000 0.000 F

***

Record 8
La2Pr5Dy5 GGA-PBE relaxed; SG = C2/m, No. 12; ΔE_f = 0.021 eV/atom; electronic total energy = -4.7092 eV/atom
1.0
5.027 0.000 1.074
2.217 7.646 1.925
0.293 0.638 10.927
Dy Pr La
5 5 2
direct
0.417 0.918 0.249 Dy
0.583 0.082 0.751 Dy
0.500 0.500 0.500 Dy
0.667 0.667 0.999 Dy
0.333 0.333 0.001 Dy
0.165 0.169 0.501 Pr
0.000 0.000 0.000 Pr
0.248 0.751 0.753 Pr
0.752 0.249 0.247 Pr
0.835 0.831 0.499 Pr
0.917 0.414 0.751 La
0.083 0.586 0.249 La

***

Record 9
LaInRu GGA-PBE relaxed; SG = P2_1/c, No. 14; ΔE_f = -0.200 eV/atom; electronic total energy = -5.8476 eV/atom
1.0
5.168 0.000 -1.063
0.000 8.500 0.000
-3.426 0.000 7.710
La Ru In
4 4 4
direct
0.944 0.416 0.234 La
0.056 0.584 0.766 La
0.444 0.084 0.234 La
0.556 0.916 0.766 La
0.383 0.639 0.565 Ru
0.883 0.861 0.565 Ru
0.617 0.361 0.435 Ru
0.117 0.139 0.435 Ru
0.024 0.159 0.731 In
0.976 0.841 0.269 In
0.524 0.341 0.731 In
0.476 0.659 0.269 In

***

Record 10
Sr2ZnCdH GGA-PBE relaxed; SG = P4/mmm, No. 123; electronic total energy = -1.9950 eV/atom
1.0
5.286 0.000 0.000
0.000 5.286 0.000
0.000 0.000 4.449
Sr H Zn Cd
2 1 1 1
direct
0.500 0.000 0.000 Sr
0.000 0.500 0.000 Sr
0.000 0.000 0.000 H
0.500 0.500 0.500 Zn
0.000 0.000 0.500 Cd

***

Record 11
Ga2PRu2 GGA-PBE relaxed; SG = P4/mbm, No. 127; ΔE_f = -0.227 eV/atom; electronic total energy = -6.2296 eV/atom
1.0
-4.282 -0.728 -4.369
4.406 -0.084 -4.305
0.289 -3.930 0.372
Ga P Ru
4 2 4
direct
0.351 0.149 0.500 Ga
0.851 0.351 0.500 Ga
0.649 0.851 0.500 Ga
0.149 0.649 0.500 Ga
0.000 0.000 0.000 P
0.500 0.500 0.000 P
0.164 0.336 0.000 Ru
0.836 0.664 0.000 Ru
0.336 0.836 0.000 Ru
0.664 0.164 0.000 Ru

***

Record 12
MgPPb3 GGA-PBE relaxed; SG = Pm-3m, No. 221; ΔE_f = 0.715 eV/atom; electronic total energy = -2.9111 eV/atom
1.0
5.422 0.000 0.000
0.000 5.422 0.000
0.000 0.000 5.422
Mg Pb P
1 3 1
direct
0.000 0.000 0.000 Mg
0.500 0.000 0.000 Pb
0.000 0.500 0.000 Pb
0.000 0.000 0.500 Pb
0.500 0.500 0.500 P

***

| no. | volume (Å³/atom) |
| --- | --- |
| 1 | 23.8 |
| 2 | 22.0 |
| 3 | 24.0 |
| 4 | 34.4 |
| 5 | 26.8 |
| 6 | 14.8 |
| 7 | 54.1 |
| 8 | 34.4 |
| 9 | 25.6 |
| 10 | 24.9 |
| 11 | 15.0 |
| 12 | 31.9 |